! PBE-GGA LaHgB3, relaxed; values from VASP
! energy	-0.26362	Ry/atom
! formation energy	1.4656	eV/atom
! space-group type	Pm-3m
! polymorph energy (0 for the lowest one)	0	meV/atom
&SYSTEM
  ibrav = 0, nat = 5, ntyp = 3
/
ATOMIC_SPECIES
Hg 200.59 Hg.upf
B 10.81 B.upf
La 138.91 La.upf
CELL_PARAMETERS angstrom
4.451 0.000 0.000
0.000 4.451 0.000
0.000 0.000 4.451
ATOMIC_POSITIONS angstrom
Hg 0.000 0.000 0.000
B 0.000 0.000 2.226
B 0.000 2.226 0.000
B 2.226 0.000 0.000
La 2.226 2.226 2.226